Entry w
DFT (PBEsol) results for a relaxed MoIr5 crystal.

POSCAR file:
```
MoIr5
1.0
4.369 0.000 0.000
0.000 2.738 0.000
0.000 0.000 14.248
Mo Ir
2 10
direct
0.000 0.000 0.000
0.000 0.500 0.500
0.000 0.000 0.333
0.000 0.000 0.663
0.000 0.500 0.163
0.000 0.500 0.833
0.500 0.000 0.110
0.500 0.000 0.443
0.500 0.000 0.777
0.500 0.500 0.277
0.500 0.500 0.610
0.500 0.500 0.943
```

The space group is No. 38.

---

Entry x
DFT (PBEsol) results for a relaxed MoIr5 crystal.

POSCAR file:
```
MoIr5
1.0
3.844 0.000 0.000
0.000 11.489 0.000
0.000 0.000 3.855
Mo Ir
2 10
direct
0.000 0.000 0.000
0.500 0.500 0.000
0.000 0.166 0.500
0.000 0.339 0.000
0.000 0.500 0.500
0.000 0.661 0.000
0.000 0.834 0.500
0.500 0.000 0.500
0.500 0.161 0.000
0.500 0.334 0.500
0.500 0.666 0.500
0.500 0.839 0.000
```

The space group is No. 65.

---

Relative to the most stable structure, the computed energies are entry w 0.042; entry x 0.000, all in eV/atom.

---

Entry w
DFT (PBEsol) results for a relaxed Mo2Ir crystal.

POSCAR file:
```
Mo2Ir
1.0
4.373 0.000 0.000
-2.187 3.788 0.000
0.000 0.000 5.439
Mo Ir
4 2
direct
0.000 0.000 0.000
0.000 0.000 0.500
0.333 0.667 0.250
0.667 0.333 0.750
0.333 0.667 0.750
0.667 0.333 0.250
```

The space group is No. 194.

---

Entry x
DFT (PBEsol) results for a relaxed Mo2Ir crystal.

POSCAR file:
```
Mo2Ir
1.0
9.565 0.000 0.000
0.000 9.565 0.000
0.000 0.000 4.912
Mo Ir
20 10
direct
0.039 0.372 0.000
0.104 0.104 0.000
0.128 0.539 0.500
0.181 0.819 0.250
0.181 0.819 0.750
0.319 0.319 0.250
0.319 0.319 0.750
0.372 0.039 0.000
0.396 0.604 0.500
0.461 0.872 0.500
0.539 0.128 0.500
0.604 0.396 0.500
0.628 0.961 0.000
0.681 0.681 0.250
0.681 0.681 0.750
0.819 0.181 0.250
0.819 0.181 0.750
0.872 0.461 0.500
0.896 0.896 0.000
0.961 0.628 0.000
0.000 0.000 0.500
0.069 0.265 0.500
0.235 0.569 0.000
0.265 0.069 0.500
0.431 0.765 0.000
0.500 0.500 0.000
0.569 0.235 0.000
0.735 0.931 0.500
0.765 0.431 0.000
0.931 0.735 0.500
```

The space group is No. 136.

---

Relative to the most stable structure, the computed energies are entry w 0.117; entry x 0.000, all in eV/atom.

---

Entry w
DFT (PBEsol) results for a relaxed NiMo2Ir crystal.

POSCAR file:
```
NiMo2Ir
1.0
3.751 0.000 0.000
0.000 3.751 0.000
0.000 0.000 3.883
Ni Mo Ir
1 2 1
direct
0.000 0.000 0.000
0.000 0.500 0.500
0.500 0.000 0.500
0.500 0.500 0.000
```

The space group is No. 123.

---

Entry x
DFT (PBEsol) results for a relaxed NiMo2Ir crystal.

POSCAR file:
```
NiMo2Ir
1.0
2.719 0.000 0.000
0.000 3.711 0.000
0.000 0.000 5.508
Ni Mo Ir
1 2 1
direct
0.000 0.000 0.000
0.000 0.000 0.487
0.500 0.500 0.781
0.500 0.500 0.250
```

The space group is No. 25.

---

Entry y
DFT (PBEsol) results for a relaxed NiMo2Ir crystal.

POSCAR file:
```
NiMo2Ir
1.0
5.289 0.000 0.000
0.000 7.734 0.000
0.000 0.000 2.688
Ni Mo Ir
2 4 2
direct
0.000 0.000 0.000
0.500 0.500 0.000
0.250 0.250 0.500
0.250 0.750 0.500
0.750 0.250 0.500
0.750 0.750 0.500
0.000 0.500 0.000
0.500 0.000 0.000
```

The space group is No. 65.

---

Entry z
DFT (PBEsol) results for a relaxed NiMo2Ir crystal.

POSCAR file:
```
NiMo2Ir
1.0
2.701 0.000 0.000
0.000 4.305 0.000
0.000 0.000 4.719
Ni Mo Ir
1 2 1
direct
0.000 0.000 0.000
0.500 0.000 0.493
0.500 0.500 0.150
0.000 0.500 0.667
```

The space group is No. 25.

---

Relative to the most stable structure, the computed energies are entry w 0.023; entry x 0.152; entry y 0.048; entry z 0.000, all in eV/atom.

---

Entry w
DFT (PBEsol) results for a relaxed NiMo2Ir crystal.

POSCAR file:
```
NiMo2Ir
1.0
2.690 0.000 0.000
0.000 3.855 0.000
0.000 0.000 5.278
Ni Mo Ir
1 2 1
direct
0.000 0.000 0.000
0.500 0.500 0.245
0.500 0.500 0.755
0.000 0.000 0.500
```

The space group is No. 47.

---

Entry x
DFT (PBEsol) results for a relaxed NiMo2Ir crystal.

POSCAR file:
```
NiMo2Ir
1.0
3.739 0.000 0.000
0.000 3.739 0.000
0.000 0.000 7.830
Ni Mo Ir
2 4 2
direct
0.000 0.000 0.000
0.500 0.500 0.500
0.000 0.500 0.250
0.000 0.500 0.750
0.500 0.000 0.250
0.500 0.000 0.750
0.000 0.000 0.500
0.500 0.500 0.000
```

The space group is No. 139.

---

Relative to the most stable structure, the computed energies are entry w 0.000; entry x 0.019, all in eV/atom.